A plane-wave DFT calculation with PBE was carried out for a relaxed CeGdAl4 crystal.

## Properties
Its total magnetic moment is 31.75 μB/cell. As for the density of states at the Fermi level: 7.16 states/eV/f.u. Its formation energy is -2.84 eV per formula unit.

a b c (Å): 7.9385 7.9385 7.9385
angles (deg): 90.00 90.00 90.00
Space group F-43m (No. 216)
Inequivalent atoms, fractional coordinates:
Ce (0.0000, 0.0000, 0.0000) (multiplicity 4)
Gd (0.2500, 0.2500, 0.2500) (multiplicity 4)
Al (0.1254, 0.1254, 0.6254) (multiplicity 16)


A plane-wave DFT calculation with PBE was carried out for a relaxed CeGdHoAl crystal.

## Properties
Its total magnetic moment is 34.06 μB/cell. As for the density of states at the Fermi level: 7.72 states/eV/f.u. Its formation energy is -0.15 eV per formula unit.

a b c (Å): 7.5708 7.5708 7.5708
angles (deg): 90.00 90.00 90.00
Space group F-43m (No. 216)
Inequivalent atoms, fractional coordinates:
Ce (0.0000, 0.0000, 0.0000) (multiplicity 4)
Gd (0.0000, 0.0000, 0.5000) (multiplicity 4)
Ho (0.2500, 0.2500, 0.7500) (multiplicity 4)
Al (0.2500, 0.2500, 0.2500) (multiplicity 4)


A plane-wave DFT calculation with PBE was carried out for a relaxed LaCeGdAl crystal.

## Properties
Its total magnetic moment is 40.32 μB/cell. As for the density of states at the Fermi level: 9.04 states/eV/f.u. Its formation energy is -0.04 eV per formula unit.

a b c (Å): 7.6418 7.6418 7.6418
angles (deg): 90.00 90.00 90.00
Space group F-43m (No. 216)
Inequivalent atoms, fractional coordinates:
La (0.0000, 0.0000, 0.0000) (multiplicity 4)
Ce (0.2500, 0.2500, 0.7500) (multiplicity 4)
Gd (0.0000, 0.0000, 0.5000) (multiplicity 4)
Al (0.2500, 0.2500, 0.2500) (multiplicity 4)


A plane-wave DFT calculation with PBE was carried out for a relaxed LiCeGdAl crystal.

## Properties
Its total magnetic moment is 26.73 μB/cell. As for the density of states at the Fermi level: 6.22 states/eV/f.u. Its formation energy is -0.46 eV per formula unit.

a b c (Å): 7.3504 7.3504 7.3504
angles (deg): 90.00 90.00 90.00
Space group F-43m (No. 216)
Inequivalent atoms, fractional coordinates:
Li (0.0000, 0.0000, 0.0000) (multiplicity 4)
Ce (0.2500, 0.2500, 0.7500) (multiplicity 4)
Gd (0.2500, 0.2500, 0.2500) (multiplicity 4)
Al (0.0000, 0.0000, 0.5000) (multiplicity 4)


A plane-wave DFT calculation with PBE was carried out for a relaxed CeGdLuAl crystal.

## Properties
Its total magnetic moment is 34.11 μB/cell. As for the density of states at the Fermi level: 7.67 states/eV/f.u. Its formation energy is -0.22 eV per formula unit.

a b c (Å): 7.5370 7.5370 7.5370
angles (deg): 90.00 90.00 90.00
Space group F-43m (No. 216)
Inequivalent atoms, fractional coordinates:
Ce (0.0000, 0.0000, 0.0000) (multiplicity 4)
Gd (0.0000, 0.0000, 0.5000) (multiplicity 4)
Lu (0.2500, 0.2500, 0.7500) (multiplicity 4)
Al (0.2500, 0.2500, 0.2500) (multiplicity 4)


A plane-wave DFT calculation with PBE was carried out for a relaxed CeGdMnAl crystal.

## Properties
Its total magnetic moment is 18.79 μB/cell. As for the density of states at the Fermi level: 6.45 states/eV/f.u. Its formation energy is -0.11 eV per formula unit.

a b c (Å): 7.2179 7.2179 7.2179
angles (deg): 90.00 90.00 90.00
Space group F-43m (No. 216)
Inequivalent atoms, fractional coordinates:
Ce (0.0000, 0.0000, 0.0000) (multiplicity 4)
Gd (0.0000, 0.0000, 0.5000) (multiplicity 4)
Mn (0.2500, 0.2500, 0.7500) (multiplicity 4)
Al (0.2500, 0.2500, 0.2500) (multiplicity 4)


Question: Which of these has the lowest total magnetic moment?
Answer: CeGdMnAl


Question: What is the formula in the first record?
Answer: CeGdAl4


Question: total magnetic moment of number 6 (CeGdMnAl)?
Answer: 18.79 μB/cell